A relaxed structure of SrSc2Cl, computed with PBE.

Cell and atoms, written as POSCAR:
```
SrSc2Cl
1.0
3.411 0.000 0.000
0.000 3.411 0.000
0.000 0.000 9.349
Cl Sc Sr
1 2 1
Direct
0.500 0.500 0.750
0.000 0.000 0.938
0.000 0.000 0.562
0.500 0.500 0.250
```

Computed properties:
- space-group type = P4/mmm
- raw formation energy (kJ/mol of atoms) = -16.0
- total DFT energy (no corrections) (eV/f.u.) = -16.9

A relaxed structure of Pr8MgRu2, computed with PBE.

Cell and atoms, written as POSCAR:
```
Pr8MgRu2
1.0
-1.971 -2.928 5.489
2.126 -6.713 -3.217
7.429 -1.695 1.365
Pr Mg Ru
8 1 2
Direct
0.820 0.140 0.567
0.180 0.433 0.860
0.584 0.130 0.130
0.416 0.870 0.870
0.820 0.567 0.140
0.180 0.860 0.433
0.313 0.381 0.381
0.687 0.619 0.619
0.000 0.000 0.000
0.012 0.216 0.216
0.988 0.784 0.784
```

Computed properties:
- space-group type = C2/m
- ΔH_f (0 K) (kJ/mol of formula units) = -54
- total DFT energy (no corrections) (eV/f.u.) = -58.9

A relaxed structure of BeMoPb2, computed with PBE.

Cell and atoms, written as POSCAR:
```
BeMoPb2
1.0
4.792 0.014 0.000
-0.024 4.792 0.000
0.000 0.000 3.468
Pb Be Mo
2 1 1
Direct
0.000 0.000 0.000
0.500 0.500 0.000
0.500 0.000 0.500
0.000 0.500 0.500
```

Computed properties:
- space-group type = Cmmm
- ΔH_f (0 K) (kJ/mol of formula units) = 339
- total DFT energy (no corrections) (eV/f.u.) = -18.5

A relaxed structure of TeRh2, computed with PBE.

Cell and atoms, written as POSCAR:
```
TeRh2
1.0
1.854 5.131 -0.009
-1.854 5.131 -0.009
0.000 0.986 5.424
Te Rh
2 4
Direct
0.983 0.983 0.502
0.285 0.285 0.946
0.977 0.977 0.985
0.309 0.309 0.406
0.658 0.658 0.740
0.622 0.622 0.253
```

Computed properties:
- space-group type = Cm
- raw formation energy (kJ/mol of atoms) = -5.3
- total DFT energy (no corrections) (eV/f.u.) = -18.0

A relaxed structure of ZrPaNbW, computed with PBE.

Cell and atoms, written as POSCAR:
```
ZrPaNbW
1.0
4.861 0.000 0.000
2.431 4.210 0.000
2.431 1.403 3.969
Nb Pa Zr W
1 1 1 1
Direct
0.250 0.250 0.250
0.500 0.500 0.500
0.000 0.000 0.000
0.750 0.750 0.750
```

Computed properties:
- space-group type = F-43m
- ΔH_f (0 K) (kJ/mol of formula units) = 45
- total DFT energy (no corrections) (eV/f.u.) = -40.6

A relaxed structure of HfBeSCl2, computed with PBE.

Cell and atoms, written as POSCAR:
```
HfBeSCl2
1.0
-4.178 -0.235 -2.801
2.133 -3.534 -2.885
-1.779 -3.478 2.945
Be S Hf Cl
1 1 1 2
Direct
0.500 0.500 0.500
0.000 0.000 0.500
0.000 0.000 0.000
0.000 0.500 0.000
0.500 0.000 0.000
```

Computed properties:
- space-group type = P4/mmm
- raw formation energy (kJ/mol of atoms) = -41.0
- total DFT energy (no corrections) (eV/f.u.) = -23.6

A relaxed structure of GaTcIrW, computed with PBE.

Cell and atoms, written as POSCAR:
```
GaTcIrW
1.0
-2.443 -1.153 -3.458
1.778 -0.088 -4.011
0.707 -3.840 -2.003
Ga Ir Tc W
1 1 1 1
Direct
0.250 0.250 0.250
0.500 0.500 0.500
0.000 0.000 0.000
0.750 0.750 0.750
```

Computed properties:
- space-group type = F-43m
- ΔH_f (0 K) (kJ/mol of formula units) = -34
- total DFT energy (no corrections) (eV/f.u.) = -35.6

A relaxed structure of SbRuAu2, computed with PBE.

Cell and atoms, written as POSCAR:
```
SbRuAu2
1.0
-1.949 -1.225 -1.919
2.251 -1.408 -1.389
-0.959 -6.744 5.281
Au Ru Sb
2 1 1
Direct
0.000 0.000 0.031
0.000 0.000 0.469
0.500 0.500 0.250
0.500 0.500 0.750
```

Computed properties:
- space-group type = P4/mmm
- raw formation energy (kJ/mol of atoms) = 37.9
- total DFT energy (no corrections) (eV/f.u.) = -18.4

A relaxed structure of Re2NiAu, computed with PBE.

Cell and atoms, written as POSCAR:
```
Re2NiAu
1.0
-4.271 -2.110 0.878
-2.478 -4.137 0.462
0.331 -0.658 4.640
Au Ni Re
1 1 2
Direct
0.750 0.750 0.750
0.250 0.250 0.250
0.992 0.992 0.013
0.508 0.508 0.487
```

Computed properties:
- space-group type = C2/m
- ΔH_f (0 K) (kJ/mol of formula units) = 119
- total DFT energy (no corrections) (eV/f.u.) = -32.7

A relaxed structure of IrOsAu, computed with PBE.

Cell and atoms, written as POSCAR:
```
IrOsAu
1.0
-3.134 -3.744 -0.428
-1.584 -2.476 3.922
0.368 4.353 -2.223
Au Ir Os
1 1 1
Direct
0.000 0.000 0.000
0.321 0.321 0.000
0.679 0.679 0.000
```

Computed properties:
- space-group type = Imm2
- ΔH_f (0 K) (kJ/mol of formula units) = 130
- total DFT energy (no corrections) (eV/f.u.) = -22.0

A relaxed structure of Pu2Al3Zn4, computed with PBE.

Cell and atoms, written as POSCAR:
```
Pu2Al3Zn4
1.0
-0.353 -4.472 -3.382
4.819 -3.863 4.604
-5.900 -0.413 5.829
Pu Al Zn
4 6 8
Direct
0.095 0.614 0.189
0.905 0.386 0.811
0.405 0.114 0.811
0.595 0.886 0.189
0.000 0.000 0.000
0.500 0.500 0.000
0.512 0.750 0.524
0.988 0.250 0.476
0.488 0.250 0.476
0.012 0.750 0.524
0.677 0.750 0.854
0.823 0.250 0.146
0.323 0.250 0.146
0.177 0.750 0.854
0.173 0.991 0.346
0.827 0.009 0.654
0.327 0.491 0.654
0.673 0.509 0.346
```

Computed properties:
- space-group type = Cmce
- ΔH_f (0 K) (kJ/mol of formula units) = -138
- total DFT energy (no corrections) (eV/f.u.) = -46.4

A relaxed structure of Zr2InCo, computed with PBE.

Cell and atoms, written as POSCAR:
```
Zr2InCo
1.0
-0.355 -1.540 3.893
-3.176 -1.083 -0.718
0.467 -5.399 -2.093
Co In Zr
1 1 2
Direct
0.000 0.721 0.431
0.500 0.556 0.763
0.000 0.947 0.982
0.500 0.275 0.324
```

Computed properties:
- space-group type = Pm
- ΔH_f (0 K) (kJ/mol of formula units) = -60
- total DFT energy (no corrections) (eV/f.u.) = -27.6